# Pu2CuSn | Alexandria via LeMat-Bulk | PBE | relaxed
# magnetization: 11.415 μB/f.u.
# E: -9.3091 eV per atom
data_Pu2CuSn
_chemical_formula_sum 'Pu2 Cu1 Sn1'
_symmetry_space_group_name_H-M 'P m m m'
_symmetry_Int_Tables_number 47
_cell_length_a 3.367
_cell_length_b 4.533
_cell_length_c 5.920
_cell_angle_alpha 90.00
_cell_angle_beta 90.00
_cell_angle_gamma 90.00
loop_
_symmetry_equiv_pos_as_xyz
'x,y,z'
'-x,-y,-z'
'-x,-y,z'
'x,y,-z'
'x,-y,-z'
'-x,y,z'
'-x,y,-z'
'x,-y,z'
loop_
_atom_site_label
_atom_site_fract_x
_atom_site_fract_y
_atom_site_fract_z
Pu1 0.000 0.000 0.238
Cu1 0.500 0.500 0.000
Sn1 0.500 0.500 0.500

# Pu2CuSn | Alexandria via LeMat-Bulk | PBE | relaxed
# magnetization: 11.972 μB/f.u.
# E: -8.8814 eV per atom
data_Pu2CuSn
_chemical_formula_sum 'Pu6 Cu3 Sn3'
_symmetry_space_group_name_H-M 'R -3 m'
_symmetry_Int_Tables_number 166
_symmetry_space_group_name_Hall '-R 3 2"'
_cell_length_a 3.2366
_cell_length_b 3.2366
_cell_length_c 33.1447
_cell_angle_alpha 90.00
_cell_angle_beta 90.00
_cell_angle_gamma 120.00
loop_
_atom_site_label
_atom_site_fract_x
_atom_site_fract_y
_atom_site_fract_z
Pu1 0.0000 0.0000 0.0976
Cu1 0.0000 0.0000 0.5000
Sn1 0.0000 0.0000 0.0000

| no. | E_form (eV per atom) |
| --- | --- |
| 1 | -0.12 |
| 2 | 0.31 |